Compound: Ag3Se
Source: Alexandria
Functional: GGA-PBE
Structure: relaxed

Results
For the density of states at the Fermi level, the calculation gives 1.6 states/eV per cell. The value obtained for the uncorrected formation energy is 0.06 eV per atom. The total energy is -2.953 eV/atom. As for the total moment: 0.0000 μB/atom.

Cell: 3.630 3.630 5.775 Å, 90.00 90.00 90.00°
Space group P4/mmm (No. 123)
Asymmetric unit:
Ag  0.000  0.000  0.000
Ag  0.500  0.500  0.249
Se  0.000  0.000  0.500



Compound: Ag3Se
Source: Alexandria
Functional: GGA-PBE
Structure: relaxed

Results
For the density of states at the Fermi level, the calculation gives 1.8 states/eV per cell. The value obtained for the uncorrected formation energy is 0.12 eV per atom. The total energy is -2.894 eV/atom. As for the total moment: 0.0000 μB/atom.

Cell: 2.894 9.732 5.373 Å, 90.00 90.00 90.00°
Space group Imm2 (No. 44)
Asymmetric unit:
Ag  0.000  0.000  0.000
Ag  0.000  0.250  0.313
Se  0.000  0.500  0.007



uncorrected formation energy of number 2 (Ag3Se)?
0.12 eV per atom